{
  "formula": "TmUIrRu",
  "functional": "PBE",
  "state": "relaxed",
  "lattice_angstrom": [[4.7949, 0.0000, 0.0000], [2.3975, 4.1525, 0.0000], [2.3975, 1.3842, 3.9151]],
  "species": ["Ru", "Tm", "Ir", "U"],
  "fractional_positions": [[0.7500, 0.7500, 0.7500], [0.5000, 0.5000, 0.5000], [0.2500, 0.2500, 0.2500], [0.0000, 0.0000, 0.0000]],
  "formation_enthalpy_0k_ev_per_atom": -0.456
}



{
  "formula": "YTmIrRu",
  "functional": "PBE",
  "state": "relaxed",
  "lattice_angstrom": [[4.7984, 0.0000, 0.0000], [2.3992, 4.1555, 0.0000], [2.3992, 1.3852, 3.9179]],
  "species": ["Y", "Ru", "Ir", "Tm"],
  "fractional_positions": [[0.5000, 0.5000, 0.5000], [0.7500, 0.7500, 0.7500], [0.2500, 0.2500, 0.2500], [0.0000, 0.0000, 0.0000]],
  "formation_enthalpy_0k_ev_per_atom": -0.638
}